(1)
This record from the Alexandria database describes a relaxed Pr2SnRu crystal. The functional is PBE.

POSCAR file:
```
Pr2SnRu
1.0
4.326 0.000 -1.713
0.000 5.009 0.000
1.333 0.000 9.716
Pr Sn Ru
4 2 2
Cartesian
1.828 1.252 4.615 Pr
3.831 3.757 3.387 Pr
5.110 1.252 6.599 Pr
0.549 3.757 1.403 Pr
3.070 1.252 1.449 Sn
2.589 3.757 6.554 Sn
2.163 0.000 -0.857 Ru
2.163 2.505 -0.857 Ru
```

Results
* total moment: 0.001 μB per formula unit
* energy relative to the lowest polymorph listed for this composition: 6.15 kJ per mole of atoms
* ΔE_f: -29.6 kJ per mole of atoms
* DOS(E_F): 10.08 states/eV/cell
* crystal system: monoclinic
* electronic total energy: -6.02 eV per atom
* theoretical density: 7.5 g/cm³

***

(2)
This record from the Alexandria database describes a relaxed CaH2Pb crystal. The functional is PBE.

POSCAR file:
```
CaH2Pb
1.0
-3.818 -2.349 -0.162
-3.388 1.033 2.753
-3.726 1.886 -1.638
Pb H Ca
1 2 1
Cartesian
-5.466 0.285 0.476 Pb
-2.733 0.143 0.238 H
-8.199 0.428 0.715 H
0.000 0.000 0.000 Ca
```

Results
* total moment: 0.000 μB per formula unit
* energy relative to the lowest polymorph listed for this composition: 39.77 kJ per mole of atoms
* DOS(E_F): 1.31 states/eV/cell
* crystal system: cubic
* electronic total energy: -2.94 eV per atom
* theoretical density: 6.5 g/cm³

***

(3)
This record from the Alexandria database describes a relaxed SmGaGe crystal. The functional is PBE.

POSCAR file:
```
SmGaGe
1.0
-0.671 -2.844 -3.217
0.369 -3.170 2.726
-3.761 1.713 -0.730
Ge Ga Sm
1 1 1
Cartesian
-0.059 -0.250 -0.283 Ge
-1.176 -2.253 0.770 Ga
-2.829 -1.798 -1.708 Sm
```

Results
* total moment: 0.000 μB per formula unit
* ΔE_f: -66.8 kJ per mole of atoms
* DOS(E_F): 0.49 states/eV/cell
* crystal system: trigonal
* electronic total energy: -4.81 eV per atom
* theoretical density: 7.3 g/cm³

***

- Which value of electronic total energy does entry 2 give?
  -2.94 eV per atom